Record 1
{
  "formula": "ZrCu2Tc",
  "functional": "PBE-GGA",
  "state": "optimized geometry",
  "lattice_angstrom": [[3.883, 0.000, 0.000], [0.000, 3.881, 0.000], [0.000, 0.000, 4.000]],
  "species": ["Cu", "Cu", "Tc", "Zr"],
  "frac_coords": [[0.000, 0.000, 0.000], [0.500, 0.500, 0.000], [0.500, 0.000, 0.500], [0.000, 0.500, 0.500]],
  "n_ef_per_ev_atom": 0.646,
  "delta_e_f_ev_per_atom": -0.043,
  "sg": "No. 123",
  "relative_energy_mev_per_atom": 0
}


Record 2
{
  "formula": "ZrCuTc",
  "functional": "PBE-GGA",
  "state": "optimized geometry",
  "lattice_angstrom": [[-4.960, -2.862, 3.259], [-2.956, -2.318, 5.223], [-1.953, 2.050, 0.393]],
  "species": ["Cu", "Tc", "Zr"],
  "frac_coords": [[0.992, 0.992, 0.008], [0.340, 0.340, 0.660], [0.668, 0.668, 0.332]],
  "n_ef_per_ev_atom": 0.865,
  "delta_e_f_ev_per_atom": 0.145,
  "sg": "No. 42",
  "relative_energy_mev_per_atom": 350
}


Record 3
{
  "formula": "ZrCuTc",
  "functional": "PBE-GGA",
  "state": "optimized geometry",
  "lattice_angstrom": [[4.487, 0.000, 0.000], [0.000, 3.299, 0.000], [0.000, 0.000, 13.192]],
  "species": ["Cu", "Cu", "Cu", "Cu", "Tc", "Tc", "Tc", "Tc", "Zr", "Zr", "Zr", "Zr"],
  "frac_coords": [[0.000, 0.000, 0.515], [0.000, 0.500, 0.015], [0.000, 0.000, 0.163], [0.000, 0.500, 0.663], [0.500, 0.000, 0.337], [0.500, 0.500, 0.837], [0.500, 0.000, 0.995], [0.500, 0.500, 0.495], [0.500, 0.000, 0.659], [0.500, 0.500, 0.159], [0.000, 0.000, 0.841], [0.000, 0.500, 0.341]],
  "n_ef_per_ev_atom": 0.958,
  "delta_e_f_ev_per_atom": -0.052,
  "sg": "No. 38",
  "relative_energy_mev_per_atom": 153
}


Record 4
{
  "formula": "ZrCu2Tc",
  "functional": "PBE-GGA",
  "state": "optimized geometry",
  "lattice_angstrom": [[-0.735, -0.460, 2.629], [0.030, -2.603, -0.941], [7.743, -0.651, 2.050]],
  "species": ["Cu", "Cu", "Tc", "Zr"],
  "frac_coords": [[0.000, 0.000, 0.029], [0.500, 0.500, 0.241], [0.000, 0.000, 0.473], [0.500, 0.500, 0.757]],
  "n_ef_per_ev_atom": 0.465,
  "delta_e_f_ev_per_atom": 0.136,
  "sg": "No. 35",
  "relative_energy_mev_per_atom": 179
}


Record 5
{
  "formula": "ZrCuTc2",
  "functional": "PBE-GGA",
  "state": "optimized geometry",
  "lattice_angstrom": [[5.235, -0.004, -0.004], [2.407, 4.649, 0.004], [-3.426, -2.973, 2.614]],
  "species": ["Cu", "Tc", "Tc", "Zr"],
  "frac_coords": [[0.250, 0.750, 0.500], [0.999, 0.999, 0.000], [0.501, 0.501, 0.000], [0.750, 0.250, 0.500]],
  "n_ef_per_ev_atom": 1.057,
  "delta_e_f_ev_per_atom": 0.122,
  "sg": "No. 71",
  "relative_energy_mev_per_atom": 133
}


Record 6
{
  "formula": "ZrCu2Tc",
  "functional": "PBE-GGA",
  "state": "optimized geometry",
  "lattice_angstrom": [[-3.011, 0.600, -3.088], [1.260, -1.805, -1.580], [-2.510, -4.180, 1.635]],
  "species": ["Cu", "Cu", "Tc", "Zr"],
  "frac_coords": [[0.000, 0.143, 0.007], [0.500, 0.120, 0.263], [0.000, 0.509, 0.461], [0.500, 0.728, 0.770]],
  "n_ef_per_ev_atom": 0.549,
  "delta_e_f_ev_per_atom": 0.041,
  "sg": "No. 6",
  "relative_energy_mev_per_atom": 84
}


Record 7
{
  "formula": "ZrCuTc",
  "functional": "PBE-GGA",
  "state": "optimized geometry",
  "lattice_angstrom": [[7.445, 0.000, -0.001], [0.000, 3.162, 0.000], [-5.425, 0.000, 8.523]],
  "species": ["Cu", "Cu", "Cu", "Cu", "Tc", "Tc", "Tc", "Tc", "Zr", "Zr", "Zr", "Zr"],
  "frac_coords": [[0.051, 0.000, 0.471], [0.051, 0.500, 0.971], [0.333, 0.000, 0.167], [0.333, 0.500, 0.667], [0.678, 0.000, 0.467], [0.678, 0.500, 0.967], [0.964, 0.000, 0.156], [0.964, 0.500, 0.656], [0.302, 0.000, 0.881], [0.302, 0.500, 0.381], [0.692, 0.000, 0.741], [0.692, 0.500, 0.241]],
  "n_ef_per_ev_atom": 0.892,
  "delta_e_f_ev_per_atom": -0.037,
  "sg": "No. 8",
  "relative_energy_mev_per_atom": 168
}


Record 8
{
  "formula": "ZrCuTc",
  "functional": "PBE-GGA",
  "state": "optimized geometry",
  "lattice_angstrom": [[5.531, 0.000, -0.008], [0.000, 4.198, 0.000], [-2.412, 0.000, 8.381]],
  "species": ["Cu", "Cu", "Cu", "Cu", "Tc", "Tc", "Tc", "Tc", "Zr", "Zr", "Zr", "Zr"],
  "frac_coords": [[0.037, 0.000, 0.886], [0.037, 0.500, 0.386], [0.711, 0.000, 0.209], [0.711, 0.500, 0.709], [0.215, 0.000, 0.213], [0.215, 0.500, 0.713], [0.372, 0.000, 0.532], [0.372, 0.500, 0.032], [0.517, 0.000, 0.859], [0.517, 0.500, 0.359], [0.895, 0.000, 0.562], [0.895, 0.500, 0.062]],
  "n_ef_per_ev_atom": 0.638,
  "delta_e_f_ev_per_atom": -0.069,
  "sg": "No. 8",
  "relative_energy_mev_per_atom": 136
}


Record 9
{
  "formula": "ZrCuTc2",
  "functional": "PBE-GGA",
  "state": "optimized geometry",
  "lattice_angstrom": [[9.568, -0.014, -0.008], [9.166, 2.746, -0.008], [9.166, 1.337, 2.399]],
  "species": ["Cu", "Tc", "Tc", "Zr"],
  "frac_coords": [[0.750, 0.750, 0.750], [0.008, 0.008, 0.008], [0.492, 0.492, 0.492], [0.250, 0.250, 0.250]],
  "n_ef_per_ev_atom": 1.520,
  "delta_e_f_ev_per_atom": 0.378,
  "sg": "No. 166",
  "relative_energy_mev_per_atom": 389
}


Record 10
{
  "formula": "ZrCu2Tc",
  "functional": "PBE-GGA",
  "state": "optimized geometry",
  "lattice_angstrom": [[-6.844, -4.564, 4.523], [-5.412, -6.761, 3.621], [-4.686, -5.508, 5.986]],
  "species": ["Cu", "Cu", "Tc", "Zr"],
  "frac_coords": [[0.994, 0.994, 0.994], [0.506, 0.506, 0.506], [0.250, 0.250, 0.250], [0.750, 0.750, 0.750]],
  "n_ef_per_ev_atom": 1.310,
  "delta_e_f_ev_per_atom": 0.335,
  "sg": "No. 166",
  "relative_energy_mev_per_atom": 378
}


Record 11
{
  "formula": "ZrCu3Tc",
  "functional": "PBE-GGA",
  "state": "optimized geometry",
  "lattice_angstrom": [[-0.203, -2.252, -3.928], [4.521, 0.118, -0.302], [0.252, -3.932, 2.241]],
  "species": ["Cu", "Cu", "Cu", "Tc", "Zr"],
  "frac_coords": [[0.000, 0.500, 0.000], [0.000, 0.000, 0.500], [0.500, 0.000, 0.000], [0.000, 0.000, 0.000], [0.500, 0.500, 0.500]],
  "n_ef_per_ev_atom": 1.199,
  "delta_e_f_ev_per_atom": 1.011,
  "sg": "No. 221",
  "relative_energy_mev_per_atom": 0
}


Record 12
{
  "formula": "ZrCuTc2",
  "functional": "PBE-GGA",
  "state": "optimized geometry",
  "lattice_angstrom": [[4.657, -0.008, 0.000], [0.927, 4.564, 0.000], [-2.792, -2.278, 2.950]],
  "species": ["Cu", "Tc", "Tc", "Zr"],
  "frac_coords": [[0.750, 0.250, 0.500], [0.000, 0.000, 0.000], [0.250, 0.750, 0.500], [0.500, 0.500, 0.000]],
  "n_ef_per_ev_atom": 0.760,
  "delta_e_f_ev_per_atom": 0.011,
  "sg": "No. 119",
  "relative_energy_mev_per_atom": 22
}


Sequential theoretical density output: 8.715, 8.566, 8.599, 8.656, 9.148, 8.730, 8.369, 8.631, 9.166, 8.527, 6.775, 9.287 Mg/m³